No. 1
# Co3Pt | the Alexandria database | PBE | relaxed
data_Co3Pt
_chemical_formula_sum 'Co9 Pt3'
_symmetry_space_group_name_H-M 'R -3 m'
_symmetry_Int_Tables_number 166
_symmetry_space_group_name_Hall '-R 3 2"'
_cell_length_a 2.6267
_cell_length_b 2.6267
_cell_length_c 24.9599
_cell_angle_alpha 90.00
_cell_angle_beta 90.00
_cell_angle_gamma 120.00
loop_
_atom_site_label
_atom_site_fract_x
_atom_site_fract_y
_atom_site_fract_z
Co1 0.0000 0.0000 0.0000
Co2 0.0000 0.0000 0.2551
Pt1 0.0000 0.0000 0.5000
# total magnetization = 5.36 μB/f.u.
# E_tot = -6.83 eV/atom

---

No. 2
# CoPt | the Alexandria database | PBE | relaxed
data_CoPt
_chemical_formula_sum 'Co4 Pt4'
_symmetry_space_group_name_H-M 'I 41/a m d'
_symmetry_Int_Tables_number 141
_cell_length_a 3.774
_cell_length_b 3.774
_cell_length_c 7.611
_cell_angle_alpha 90.00
_cell_angle_beta 90.00
_cell_angle_gamma 90.00
loop_
_symmetry_equiv_pos_as_xyz
'x,y,z'
'-x,-y,-z'
'-y+1/4,x+3/4,z+1/4'
'y+1/4,-x+3/4,-z+1/4'
'-x+1/2,-y,z+1/2'
'x+1/2,y,-z+1/2'
'y+1/4,-x+1/4,z+3/4'
'-y+1/4,x+1/4,-z+3/4'
'x,-y,-z'
'-x,y,z'
'-y+1/4,-x+1/4,-z+3/4'
'y+1/4,x+1/4,z+3/4'
'-x+1/2,y,-z+1/2'
'x+1/2,-y,z+1/2'
'y+1/4,x+3/4,-z+1/4'
'-y+1/4,-x+3/4,z+1/4'
'x+1/2,y+1/2,z+1/2'
'-x+1/2,-y+1/2,-z+1/2'
'-y+3/4,x+1/4,z+3/4'
'y+3/4,-x+1/4,-z+3/4'
'-x,-y+1/2,z'
'x,y+1/2,-z'
'y+3/4,-x+3/4,z+1/4'
'-y+3/4,x+3/4,-z+1/4'
'x+1/2,-y+1/2,-z+1/2'
'-x+1/2,y+1/2,z+1/2'
'-y+3/4,-x+3/4,-z+1/4'
'y+3/4,x+3/4,z+1/4'
'-x,y+1/2,-z'
'x,-y+1/2,z'
'y+3/4,x+1/4,-z+3/4'
'-y+3/4,-x+1/4,z+3/4'
loop_
_atom_site_label
_atom_site_fract_x
_atom_site_fract_y
_atom_site_fract_z
Co1 0.000 0.250 0.375
Pt1 0.000 0.250 0.875
# total magnetization = 2.22 μB/f.u.
# E_tot = -6.64 eV/atom

---

No. 3
# Co3Pt4 | the Alexandria database | PBE | relaxed
data_Co3Pt4
_chemical_formula_sum 'Co3 Pt4'
_symmetry_space_group_name_H-M 'P 6/m m m'
_symmetry_Int_Tables_number 191
_symmetry_space_group_name_Hall '-P 6 2'
_cell_length_a 4.7261
_cell_length_b 4.7261
_cell_length_c 5.0675
_cell_angle_alpha 90.00
_cell_angle_beta 90.00
_cell_angle_gamma 120.00
loop_
_atom_site_label
_atom_site_fract_x
_atom_site_fract_y
_atom_site_fract_z
Co1 0.0000 0.5000 0.0000
Pt1 0.0000 0.0000 0.2529
Pt2 0.3333 0.6667 0.5000
# energy above the lowest structure with this stoichiometry = 0.037 eV/atom
# total magnetization = 7.08 μB/f.u.

---

No. 4
# CoPt | the Alexandria database | PBE | relaxed
data_CoPt
_chemical_formula_sum 'Co2 Pt2'
_symmetry_space_group_name_H-M 'P 4/n m m'
_symmetry_Int_Tables_number 129
_cell_length_a 2.698
_cell_length_b 2.698
_cell_length_c 7.396
_cell_angle_alpha 90.00
_cell_angle_beta 90.00
_cell_angle_gamma 90.00
loop_
_symmetry_equiv_pos_as_xyz
'x,y,z'
'-x,-y,-z'
'-y+1/2,x,z'
'y+1/2,-x,-z'
'-x+1/2,-y+1/2,z'
'x+1/2,y+1/2,-z'
'y,-x+1/2,z'
'-y,x+1/2,-z'
'x+1/2,-y,-z'
'-x+1/2,y,z'
'-y,-x,-z'
'y,x,z'
'-x,y+1/2,-z'
'x,-y+1/2,z'
'y+1/2,x+1/2,-z'
'-y+1/2,-x+1/2,z'
loop_
_atom_site_label
_atom_site_fract_x
_atom_site_fract_y
_atom_site_fract_z
Co1 0.250 0.250 0.106
Pt1 0.250 0.250 0.645
# total magnetization = 2.08 μB/f.u.
# E_tot = -6.64 eV/atom

---

No. 5
# Co3Pt | the Alexandria database | PBE | relaxed
data_Co3Pt
_chemical_formula_sum 'Co12 Pt4'
_symmetry_space_group_name_H-M 'F m -3 m'
_symmetry_Int_Tables_number 225
_symmetry_space_group_name_Hall '-F 4 2 3'
_cell_length_a 5.851
_cell_length_b 5.851
_cell_length_c 5.851
_cell_angle_alpha 90.00
_cell_angle_beta 90.00
_cell_angle_gamma 90.00
loop_
_atom_site_label
_atom_site_fract_x
_atom_site_fract_y
_atom_site_fract_z
Co1 0.000 0.000 0.000
Co2 0.250 0.250 0.250
Pt1 0.000 0.000 0.500
# total magnetization = 5.89 μB/f.u.
# E_tot = -6.74 eV/atom

---

No. 6
# Co2Pt3 | the Alexandria database | PBE | relaxed
data_Co2Pt3
_chemical_formula_sum 'Co4 Pt6'
_symmetry_space_group_name_H-M 'I 4/m m m'
_symmetry_Int_Tables_number 139
_symmetry_space_group_name_Hall '-I 4 2'
_cell_length_a 2.713
_cell_length_b 2.713
_cell_length_c 18.968
_cell_angle_alpha 90.00
_cell_angle_beta 90.00
_cell_angle_gamma 90.00
loop_
_atom_site_label
_atom_site_fract_x
_atom_site_fract_y
_atom_site_fract_z
Co1 0.000 0.000 0.098
Pt1 0.000 0.000 0.307
Pt2 0.000 0.000 0.500
# energy above the lowest structure with this stoichiometry = 0.000 eV/atom
# total magnetization = 4.87 μB/f.u.

---

No. 7
# Pu2Co3Pt | the Alexandria database | PBE | relaxed
data_Pu2Co3Pt
_chemical_formula_sum 'Pu6 Co9 Pt3'
_symmetry_space_group_name_H-M 'R -3 m'
_symmetry_Int_Tables_number 166
_symmetry_space_group_name_Hall '-R 3 2"'
_cell_length_a 5.1063
_cell_length_b 5.1063
_cell_length_c 12.8467
_cell_angle_alpha 90.00
_cell_angle_beta 90.00
_cell_angle_gamma 120.00
loop_
_atom_site_label
_atom_site_fract_x
_atom_site_fract_y
_atom_site_fract_z
Pu1 0.0000 0.0000 0.1220
Co1 0.0000 0.5000 0.0000
Pt1 0.0000 0.0000 0.5000
# total magnetization = 7.24 μB/f.u.
# E_tot = -9.67 eV/atom

---

No. 8
# Pu8CoPt5 | the Alexandria database | PBE | relaxed
data_Pu8CoPt5
_chemical_formula_sum 'Pu16 Co2 Pt10'
_symmetry_space_group_name_H-M 'I -4'
_symmetry_Int_Tables_number 82
_symmetry_space_group_name_Hall 'I -4'
_cell_length_a 8.592
_cell_length_b 8.592
_cell_length_c 8.707
_cell_angle_alpha 90.00
_cell_angle_beta 90.00
_cell_angle_gamma 90.00
loop_
_atom_site_label
_atom_site_fract_x
_atom_site_fract_y
_atom_site_fract_z
Pu1 0.069 0.176 0.301
Pu2 0.073 0.307 0.949
Co1 0.000 0.000 0.000
Pt1 0.000 0.500 0.250
Pt2 0.119 0.255 0.622
# total magnetization = 43.74 μB/f.u.
# E_tot = -11.41 eV/atom

---

> The highest total magnetization belongs to which entry?

Pu8CoPt5

---

What did the fifth record say?
# Co3Pt | the Alexandria database | PBE | relaxed
data_Co3Pt
_chemical_formula_sum 'Co12 Pt4'
_symmetry_space_group_name_H-M 'F m -3 m'
_symmetry_Int_Tables_number 225
_symmetry_space_group_name_Hall '-F 4 2 3'
_cell_length_a 5.851
_cell_length_b 5.851
_cell_length_c 5.851
_cell_angle_alpha 90.00
_cell_angle_beta 90.00
_cell_angle_gamma 90.00
loop_
_atom_site_label
_atom_site_fract_x
_atom_site_fract_y
_atom_site_fract_z
Co1 0.000 0.000 0.000
Co2 0.250 0.250 0.250
Pt1 0.000 0.000 0.500
# total magnetization = 5.89 μB/f.u.
# E_tot = -6.74 eV/atom

---

> Which of these has the lowest total magnetization?

number 4